[1]
This record from Alexandria via LeMat-Bulk describes crystalline LiP2CS at its relaxed geometry. The functional is GGA-PBEsol.

abc: 4.1368 4.1368 4.1900
angles: 90.00 90.00 90.00
Last column: nearest neighbours and their distance in Å.
Positions (direct):
Li 0.0000 0.0000 0.0000  4 P 2.07, 2 S 2.09
P 0.0000 0.5000 0.0000  2 Li 2.07
P 0.5000 0.0000 0.0000  2 Li 2.07
C 0.5000 0.5000 0.5000  4 S 2.93, 8 P 2.94
S 0.0000 0.0000 0.5000  2 Li 2.09

Computed properties:
Formation energy (no corrections) ... 926 kJ/mol of formula units
E ... -3.60 eV per atom


[2]
This record from Alexandria via LeMat-Bulk describes crystalline LiPbC3 at its relaxed geometry. The functional is GGA-PBEsol.

abc: 3.8904 3.8904 3.8904
angles: 90.00 90.00 90.00
Last column: nearest neighbours and their distance in Å.
Positions (direct):
Li 0.0000 0.0000 0.0000  6 C 1.95
Pb 0.5000 0.5000 0.5000  12 C 2.75
C 0.0000 0.0000 0.5000  2 Li 1.95
C 0.0000 0.5000 0.0000  2 Li 1.95
C 0.5000 0.0000 0.0000  2 Li 1.95

Computed properties:
Calculated formation energy ... 13.5 eV per formula unit
E ... -4.27 eV per atom


[3]
This record from Alexandria via LeMat-Bulk describes crystalline Li2SiPdC at its relaxed geometry. The functional is GGA-PBEsol.

abc: 4.8631 4.8631 3.3680
angles: 90.00 90.00 90.00
Last column: nearest neighbours and their distance in Å.
Positions (direct):
Li 0.0000 0.5000 0.0000  2 Si 2.43
Li 0.5000 0.0000 0.0000  2 Si 2.43
Si 0.0000 0.0000 0.0000  2 C 1.68
Pd 0.5000 0.5000 0.5000  8 Li 2.96
C 0.0000 0.0000 0.5000  2 Si 1.68

Computed properties:
Formation energy (no corrections) ... 381 kJ/mol of formula units
E ... -4.27 eV per atom


[4]
This record from Alexandria via LeMat-Bulk describes crystalline Li2PtC2 at its relaxed geometry. The functional is GGA-PBEsol.

abc: 5.1424 5.1424 3.5353
angles: 90.00 90.00 90.00
Last column: nearest neighbours and their distance in Å.
Positions (direct):
Li 0.1822 0.3178 0.0000  6 C 2.31-2.40, 4 Pt 2.58
Li 0.3178 0.8178 0.0000  6 C 2.31-2.40, 4 Pt 2.58
Li 0.6822 0.1822 0.0000  6 C 2.31-2.40, 4 Pt 2.58
Li 0.8178 0.6822 0.0000  6 C 2.31-2.40, 4 Pt 2.58
Pt 0.0000 0.0000 0.5000  4 C 2.14
Pt 0.5000 0.5000 0.5000  4 C 2.14
C 0.0949 0.5949 0.5000  1 C 1.38
C 0.4051 0.0949 0.5000  1 C 1.38
C 0.5949 0.9051 0.5000  1 C 1.38
C 0.9051 0.4051 0.5000  1 C 1.38

Computed properties:
Calculated formation energy ... -0.7 eV per formula unit
E ... -6.18 eV per atom


[5]
This record from Alexandria via LeMat-Bulk describes crystalline LiRhC3 at its relaxed geometry. The functional is GGA-PBEsol.

abc: 3.5459 3.5459 3.5459
angles: 90.00 90.00 90.00
Last column: nearest neighbours and their distance in Å.
Positions (direct):
Li 0.0000 0.0000 0.0000  6 C 1.77
Rh 0.5000 0.5000 0.5000  12 C 2.51
C 0.0000 0.0000 0.5000  2 Li 1.77
C 0.0000 0.5000 0.0000  2 Li 1.77
C 0.5000 0.0000 0.0000  2 Li 1.77

Computed properties:
Calculated formation energy ... 14.0 eV per formula unit
E ... -5.01 eV per atom


[6]
This record from Alexandria via LeMat-Bulk describes crystalline LiRhC2S at its relaxed geometry. The functional is GGA-PBEsol.

abc: 3.6215 3.6215 4.4189
angles: 90.00 90.00 90.00
Last column: nearest neighbours and their distance in Å.
Positions (direct):
Li 0.0000 0.0000 0.0000  4 Rh 2.56, 8 C 2.86
Rh 0.5000 0.5000 0.0000  2 S 2.21
C 0.0000 0.5000 0.5000  2 S 1.81
C 0.5000 0.0000 0.5000  2 S 1.81
S 0.5000 0.5000 0.5000  4 C 1.81

Computed properties:
Formation energy (no corrections) ... 827 kJ/mol of formula units
E ... -5.04 eV per atom


[7]
This record from Alexandria via LeMat-Bulk describes crystalline LiRu2C at its relaxed geometry. The functional is GGA-PBEsol.

abc: 5.1293 5.1293 5.1293
angles: 100.09 100.09 130.50
Last column: nearest neighbours and their distance in Å.
Positions (direct):
Li 0.0000 0.0000 0.0000  2 C 2.15
Li 0.7500 0.2500 0.5000  2 C 2.15
Ru 0.2289 0.1250 0.6039  2 C 1.98
Ru 0.3750 0.7711 0.8961  2 C 1.98
Ru 0.5211 0.6250 0.3961  2 C 1.98
Ru 0.8750 0.4789 0.1039  2 C 1.98
C 0.2500 0.7500 0.5000  4 Ru 1.98, 2 Li 2.15
C 0.5000 0.5000 0.0000  4 Ru 1.98, 2 Li 2.15

Computed properties:
Calculated formation energy ... 1.1 eV per formula unit
E ... -7.70 eV per atom


[8]
This record from Alexandria via LeMat-Bulk describes crystalline LiRuC3 at its relaxed geometry. The functional is GGA-PBEsol.

abc: 3.9233 3.9233 3.9233
angles: 90.00 90.00 90.00
Last column: nearest neighbours and their distance in Å.
Positions (direct):
Li 0.0000 0.0000 0.0000  12 C 2.77
Ru 0.5000 0.5000 0.5000  6 C 1.96
C 0.0000 0.5000 0.5000  2 Ru 1.96
C 0.5000 0.0000 0.5000  2 Ru 1.96
C 0.5000 0.5000 0.0000  2 Ru 1.96

Computed properties:
Calculated formation energy ... 8.7 eV per formula unit
E ... -6.48 eV per atom


Sequential N(E_F) output: 3.2; 2.7; 2.4; 1.2; 2.6; 2.4; 6.7; 2.8 states/eV per cell